Entry 1:
DFT (GGA-PBEsol) results for crystalline TiMoAs2 at its relaxed geometry.

Structure (POSCAR):
```
TiMoAs2
1.0
-2.3371 -3.3772 -1.5820
-0.2468 -3.7613 2.2720
-3.7796 -1.1584 1.9345
Mo As Ti
1 2 1
Direct
0.5000 0.5000 0.5000 Mo
0.2500 0.2500 0.2500 As
0.7500 0.7500 0.7500 As
0.0000 0.0000 0.0000 Ti
```

Values from the calculation:
Its volume is 15.07 Å³/atom. As for the energy above the most stable polymorph in this dataset: 193.2 meV/atom. The value obtained for the magnetic moment is 0.001 μB/cell. The calculation puts the raw total energy at -8.019 eV per atom. The formation energy comes out at -1.8 eV/f.u. Its symmetry is No. 225.

=====

Entry 2:
DFT (GGA-PBEsol) results for crystalline TiTlMo2As at its relaxed geometry.

Structure (POSCAR):
```
TiTlMo2As
1.0
-2.6173 3.6433 -1.2058
-3.2698 -2.8947 -1.6491
-2.0448 -0.0804 4.1955
As Tl Mo Ti
1 1 2 1
Direct
0.5000 0.0000 0.0000 As
0.5000 0.5000 0.5000 Tl
0.0000 0.0000 0.5000 Mo
0.0000 0.5000 0.0000 Mo
0.0000 0.0000 0.0000 Ti
```

Values from the calculation:
Its volume is 20.24 Å³/atom. The value obtained for the magnetic moment is 0.792 μB/cell. The calculation puts the raw total energy at -6.683 eV per atom. The formation energy comes out at 6.2 eV/f.u. Its symmetry is No. 123.

=====

Entry 3:
DFT (GGA-PBEsol) results for crystalline TlMoAs2 at its relaxed geometry.

Structure (POSCAR):
```
TlMoAs2
1.0
3.1516 0.0000 0.0000
0.0000 3.1515 0.0169
0.0000 -0.0417 7.8115
As Tl Mo
2 1 1
Direct
0.0000 0.0000 0.6847 As
0.0000 0.0000 0.3153 As
0.5000 0.5000 0.0000 Tl
0.5000 0.5000 0.5000 Mo
```

Values from the calculation:
Its volume is 19.40 Å³/atom. As for the energy above the most stable polymorph in this dataset: 0.0 meV/atom. The value obtained for the magnetic moment is 0.000 μB/cell. The calculation puts the raw total energy at -6.237 eV per atom. The formation energy comes out at -0.3 eV/f.u. Its symmetry is No. 123.

=====

Entry 4:
DFT (GGA-PBEsol) results for crystalline TlMoAs at its relaxed geometry.

Structure (POSCAR):
```
TlMoAs
1.0
2.9891 0.0222 0.0000
-0.9754 2.8255 0.0000
-1.0068 -1.4238 7.1233
As Tl Mo
1 1 1
Direct
0.0282 0.0282 0.0564 As
0.3207 0.3207 0.6414 Tl
0.6511 0.6511 0.3022 Mo
```

Values from the calculation:
Its volume is 20.10 Å³/atom. The value obtained for the magnetic moment is 0.000 μB/cell. The calculation puts the raw total energy at -6.108 eV per atom. The formation energy comes out at 1.2 eV/f.u. Its symmetry is No. 42.

=====

Entry 5:
DFT (GGA-PBEsol) results for crystalline TlMoAs2 at its relaxed geometry.

Structure (POSCAR):
```
TlMoAs2
1.0
-0.5206 -2.0397 -2.6667
-2.8713 -2.6968 2.6232
-2.8054 3.2719 -1.9550
As Tl Mo
2 1 1
Direct
0.0000 0.5000 0.0000 As
0.0000 0.0000 0.5000 As
0.5000 0.5000 0.5000 Tl
0.5000 0.0000 0.0000 Mo
```

Values from the calculation:
Its volume is 18.35 Å³/atom. As for the energy above the most stable polymorph in this dataset: 638.6 meV/atom. The value obtained for the magnetic moment is 0.001 μB/cell. The calculation puts the raw total energy at -5.598 eV per atom. The formation energy comes out at 2.2 eV/f.u. Its symmetry is No. 65.

=====

Entry 6:
DFT (GGA-PBEsol) results for crystalline TlMoAs2 at its relaxed geometry.

Structure (POSCAR):
```
TlMoAs2
1.0
3.5256 0.0000 -0.1461
0.0000 4.5175 0.0000
-1.5667 0.0000 4.8224
As Tl Mo
2 1 1
Direct
0.9790 0.0000 0.0831 As
0.5554 0.5000 0.2359 As
0.2822 0.5000 0.6892 Tl
0.6835 0.0000 0.4919 Mo
```

Values from the calculation:
Its volume is 18.94 Å³/atom. As for the energy above the most stable polymorph in this dataset: 350.2 meV/atom. The value obtained for the magnetic moment is 0.000 μB/cell. The calculation puts the raw total energy at -5.887 eV per atom. The formation energy comes out at 1.1 eV/f.u. Its symmetry is No. 38.

=====

Entry 7:
DFT (GGA-PBEsol) results for crystalline TlMoAs2 at its relaxed geometry.

Structure (POSCAR):
```
TlMoAs2
1.0
-2.5845 -1.7959 -0.9465
1.9896 -2.5452 -0.6036
-0.8888 -2.3095 6.8093
As Tl Mo
2 1 1
Direct
0.0000 0.0000 0.0636 As
0.5000 0.5000 0.2884 As
0.5000 0.5000 0.7205 Tl
0.0000 0.0000 0.4275 Mo
```

Values from the calculation:
Its volume is 19.56 Å³/atom. As for the energy above the most stable polymorph in this dataset: 325.8 meV/atom. The value obtained for the magnetic moment is 0.000 μB/cell. The calculation puts the raw total energy at -5.911 eV per atom. The formation energy comes out at 1.0 eV/f.u. Its symmetry is No. 99.

=====

Entry 8:
DFT (GGA-PBEsol) results for crystalline TlMo2As at its relaxed geometry.

Structure (POSCAR):
```
TlMo2As
1.0
-1.4957 -0.6732 2.8667
3.7031 -1.7339 1.5249
1.3084 4.2784 1.6873
As Tl Mo
1 1 2
Direct
0.0000 0.5000 0.5000 As
0.5000 0.5000 0.0000 Tl
0.0000 0.0000 0.0000 Mo
0.5000 0.0000 0.5000 Mo
```

Values from the calculation:
Its volume is 17.23 Å³/atom. The value obtained for the magnetic moment is 0.000 μB/cell. The calculation puts the raw total energy at -7.157 eV per atom. The formation energy comes out at 2.6 eV/f.u. Its symmetry is No. 47.